## P
Compound: PbAuBr
Source: the Alexandria database
Functional: PBE
Structure: optimized geometry

```
data_PbAuBr
_cell_length_a 5.126
_cell_length_b 5.126
_cell_length_c 5.126
_cell_angle_alpha 60.00
_cell_angle_beta 60.00
_cell_angle_gamma 60.00
_space_group_name_H-M_alt 'P 1'
_space_group_IT_number 1
_space_group_name_Hall 'P 1'
loop_
_atom_site_label
_atom_site_fract_x
_atom_site_fract_y
_atom_site_fract_z
_atom_site_occupancy
Pb1 0.250 0.250 0.250 1
Au1 0.000 0.000 0.000 1
Br1 0.500 0.500 0.500 1
```

---

## Q
Compound: PbAuBr
Source: the Alexandria database
Functional: PBE
Structure: optimized geometry

```
data_PbAuBr
_cell_length_a 4.273
_cell_length_b 4.273
_cell_length_c 5.602
_cell_angle_alpha 90.00
_cell_angle_beta 90.00
_cell_angle_gamma 120.00
_space_group_name_H-M_alt 'P 1'
_space_group_IT_number 1
_space_group_name_Hall 'P 1'
loop_
_atom_site_label
_atom_site_fract_x
_atom_site_fract_y
_atom_site_fract_z
_atom_site_occupancy
Pb1 0.333 0.667 0.696 1
Au1 0.000 0.000 0.977 1
Br1 0.667 0.333 0.326 1
```

---

The most stable of them is Q.

---

## P
Compound: PbAuBr5
Source: the Alexandria database
Functional: PBE
Structure: optimized geometry

```
data_PbAuBr5
_cell_length_a 7.464
_cell_length_b 7.464
_cell_length_c 15.047
_cell_angle_alpha 51.80
_cell_angle_beta 51.80
_cell_angle_gamma 69.82
_space_group_name_H-M_alt 'P 1'
_space_group_IT_number 1
_space_group_name_Hall 'P 1'
loop_
_atom_site_label
_atom_site_fract_x
_atom_site_fract_y
_atom_site_fract_z
_atom_site_occupancy
Pb1 0.707 0.293 0.250 1
Pb2 0.293 0.707 0.750 1
Au1 0.000 0.000 0.000 1
Au2 0.000 0.000 0.500 1
Br1 0.608 0.820 0.164 1
Br2 0.368 0.835 0.480 1
Br3 0.820 0.608 0.664 1
Br4 0.028 0.972 0.250 1
Br5 0.165 0.632 0.020 1
Br6 0.835 0.368 0.980 1
Br7 0.972 0.028 0.750 1
Br8 0.180 0.392 0.336 1
Br9 0.632 0.165 0.520 1
Br10 0.392 0.180 0.836 1
```

---

## Q
Compound: PbAuBr5
Source: the Alexandria database
Functional: PBE
Structure: optimized geometry

```
data_PbAuBr5
_cell_length_a 8.122
_cell_length_b 8.122
_cell_length_c 13.834
_cell_angle_alpha 64.90
_cell_angle_beta 64.90
_cell_angle_gamma 42.86
_space_group_name_H-M_alt 'P 1'
_space_group_IT_number 1
_space_group_name_Hall 'P 1'
loop_
_atom_site_label
_atom_site_fract_x
_atom_site_fract_y
_atom_site_fract_z
_atom_site_occupancy
Pb1 0.986 0.514 0.250 1
Pb2 0.014 0.486 0.750 1
Au1 0.000 0.000 0.000 1
Au2 0.500 0.500 0.500 1
Br1 0.091 0.636 0.996 1
Br2 0.718 0.323 0.333 1
Br3 0.136 0.591 0.496 1
Br4 0.471 0.029 0.250 1
Br5 0.177 0.782 0.167 1
Br6 0.823 0.218 0.833 1
Br7 0.529 0.971 0.750 1
Br8 0.864 0.409 0.504 1
Br9 0.282 0.677 0.667 1
Br10 0.909 0.364 0.004 1
```

---

The most stable of them is Q.

---

## P
Compound: Pb3AuBr
Source: the Alexandria database
Functional: PBE
Structure: optimized geometry

```
data_Pb3AuBr
_cell_length_a 5.680
_cell_length_b 5.680
_cell_length_c 5.680
_cell_angle_alpha 90.00
_cell_angle_beta 90.00
_cell_angle_gamma 90.00
_space_group_name_H-M_alt 'P 1'
_space_group_IT_number 1
_space_group_name_Hall 'P 1'
loop_
_atom_site_label
_atom_site_fract_x
_atom_site_fract_y
_atom_site_fract_z
_atom_site_occupancy
Pb1 0.000 0.500 0.000 1
Pb2 0.000 0.000 0.500 1
Pb3 0.500 0.000 0.000 1
Au1 0.500 0.500 0.500 1
Br1 0.000 0.000 0.000 1
```

---

## Q
Compound: Pb3AuBr
Source: the Alexandria database
Functional: PBE
Structure: optimized geometry

```
data_Pb3AuBr
_cell_length_a 5.651
_cell_length_b 5.651
_cell_length_c 5.651
_cell_angle_alpha 90.00
_cell_angle_beta 90.00
_cell_angle_gamma 90.00
_space_group_name_H-M_alt 'P 1'
_space_group_IT_number 1
_space_group_name_Hall 'P 1'
loop_
_atom_site_label
_atom_site_fract_x
_atom_site_fract_y
_atom_site_fract_z
_atom_site_occupancy
Pb1 0.000 0.500 0.000 1
Pb2 0.000 0.000 0.500 1
Pb3 0.500 0.000 0.000 1
Au1 0.000 0.000 0.000 1
Br1 0.500 0.500 0.500 1
```

---

The most stable of them is Q.

---

## P
Compound: RbPb2AuBr
Source: the Alexandria database
Functional: PBE
Structure: optimized geometry

```
data_RbPb2AuBr
_cell_length_a 6.501
_cell_length_b 5.841
_cell_length_c 6.501
_cell_angle_alpha 90.00
_cell_angle_beta 90.00
_cell_angle_gamma 90.00
_space_group_name_H-M_alt 'P 1'
_space_group_IT_number 1
_space_group_name_Hall 'P 1'
loop_
_atom_site_label
_atom_site_fract_x
_atom_site_fract_y
_atom_site_fract_z
_atom_site_occupancy
Pb1 0.000 0.000 0.500 1
Pb2 0.500 0.000 0.000 1
Au1 0.500 0.500 0.500 1
Br1 0.000 0.500 0.000 1
Rb1 0.000 0.000 0.000 1
```

---

## Q
Compound: RbPb2AuBr
Source: the Alexandria database
Functional: PBE
Structure: optimized geometry

```
data_RbPb2AuBr
_cell_length_a 5.787
_cell_length_b 6.225
_cell_length_c 5.787
_cell_angle_alpha 90.00
_cell_angle_beta 90.00
_cell_angle_gamma 90.00
_space_group_name_H-M_alt 'P 1'
_space_group_IT_number 1
_space_group_name_Hall 'P 1'
loop_
_atom_site_label
_atom_site_fract_x
_atom_site_fract_y
_atom_site_fract_z
_atom_site_occupancy
Pb1 0.000 0.000 0.500 1
Pb2 0.500 0.000 0.000 1
Au1 0.500 0.500 0.500 1
Br1 0.000 0.000 0.000 1
Rb1 0.000 0.500 0.000 1
```

---

The most stable of them is Q.

---

## P
Compound: PdAu2Br8
Source: the Alexandria database
Functional: PBE
Structure: optimized geometry

```
data_PdAu2Br8
_cell_length_a 7.142
_cell_length_b 7.379
_cell_length_c 7.379
_cell_angle_alpha 73.85
_cell_angle_beta 78.03
_cell_angle_gamma 78.03
_space_group_name_H-M_alt 'P 1'
_space_group_IT_number 1
_space_group_name_Hall 'P 1'
loop_
_atom_site_label
_atom_site_fract_x
_atom_site_fract_y
_atom_site_fract_z
_atom_site_occupancy
Pd1 0.000 0.000 0.000 1
Au1 0.757 0.760 0.760 1
Au2 0.243 0.240 0.240 1
Br1 0.187 0.276 0.897 1
Br2 0.813 0.103 0.724 1
Br3 0.268 0.811 0.811 1
Br4 0.732 0.189 0.189 1
Br5 0.187 0.897 0.276 1
Br6 0.813 0.724 0.103 1
Br7 0.713 0.565 0.565 1
Br8 0.287 0.435 0.435 1
```

---

## Q
Compound: PdAu2Br8
Source: the Alexandria database
Functional: PBE
Structure: optimized geometry

```
data_PdAu2Br8
_cell_length_a 9.406
_cell_length_b 7.194
_cell_length_c 10.859
_cell_angle_alpha 117.29
_cell_angle_beta 90.00
_cell_angle_gamma 130.83
_space_group_name_H-M_alt 'P 1'
_space_group_IT_number 1
_space_group_name_Hall 'P 1'
loop_
_atom_site_label
_atom_site_fract_x
_atom_site_fract_y
_atom_site_fract_z
_atom_site_occupancy
Pd1 0.000 0.000 0.000 1
Au1 0.899 0.797 0.589 1
Au2 0.101 0.203 0.411 1
Br1 0.844 0.053 0.174 1
Br2 0.209 0.053 0.174 1
Br3 0.156 0.947 0.826 1
Br4 0.376 0.752 0.523 1
Br5 0.791 0.947 0.826 1
Br6 0.825 0.650 0.315 1
Br7 0.175 0.350 0.685 1
Br8 0.624 0.248 0.477 1
```

---

The most stable of them is Q.

---

## P
Compound: Pd2AuBr2
Source: the Alexandria database
Functional: PBE
Structure: optimized geometry

```
data_Pd2AuBr2
_cell_length_a 7.199
_cell_length_b 7.199
_cell_length_c 3.880
_cell_angle_alpha 90.00
_cell_angle_beta 90.00
_cell_angle_gamma 90.00
_space_group_name_H-M_alt 'P 1'
_space_group_IT_number 1
_space_group_name_Hall 'P 1'
loop_
_atom_site_label
_atom_site_fract_x
_atom_site_fract_y
_atom_site_fract_z
_atom_site_occupancy
Au1 0.000 0.000 0.000 1
Au2 0.500 0.500 0.000 1
Br1 0.170 0.670 0.500 1
Br2 0.670 0.830 0.500 1
Br3 0.830 0.330 0.500 1
Br4 0.330 0.170 0.500 1
Pd1 0.355 0.855 0.000 1
Pd2 0.855 0.645 0.000 1
Pd3 0.645 0.145 0.000 1
Pd4 0.145 0.355 0.000 1
```

---

## Q
Compound: Pd2AuBr2
Source: the Alexandria database
Functional: PBE
Structure: optimized geometry

```
data_Pd2AuBr2
_cell_length_a 5.205
_cell_length_b 5.205
_cell_length_c 5.602
_cell_angle_alpha 62.32
_cell_angle_beta 62.32
_cell_angle_gamma 90.00
_space_group_name_H-M_alt 'P 1'
_space_group_IT_number 1
_space_group_name_Hall 'P 1'
loop_
_atom_site_label
_atom_site_fract_x
_atom_site_fract_y
_atom_site_fract_z
_atom_site_occupancy
Au1 0.000 0.000 0.000 1
Br1 0.750 0.250 0.500 1
Br2 0.250 0.750 0.500 1
Pd1 0.313 0.313 0.373 1
Pd2 0.687 0.687 0.627 1
```

---

The most stable of them is P.